Entry 1:
Compound: TlVCl3
Source: Alexandria via LeMat-Bulk
Functional: PBE
Structure: optimized geometry

ΔE to the lowest computed polymorph = 0 meV/atom
crystal system = hexagonal
calculated volume = 26.3 Å³/atom
formation energy from raw total energies = -1.083 eV per atom

The structure in CIF format:
```
data_TlVCl3
_chemical_formula_sum 'Tl2 V2 Cl6'
_cell_length_a 6.9951
_cell_length_b 6.9951
_cell_length_c 6.2077
_cell_angle_alpha 90.00
_cell_angle_beta 90.00
_cell_angle_gamma 120.00
_symmetry_space_group_name_H-M 'P 63/m m c'
_symmetry_Int_Tables_number 194
_symmetry_space_group_name_Hall '-P 6c 2c'
loop_
_atom_site_label
_atom_site_type_symbol
_atom_site_fract_x
_atom_site_fract_y
_atom_site_fract_z
Tl1 Tl 0.3333 0.6667 0.2500
V1 V 0.0000 0.0000 0.0000
Cl1 Cl 0.1597 0.3195 0.7500
```

***

Entry 2:
Compound: TlVCl4
Source: Alexandria via LeMat-Bulk
Functional: PBE
Structure: optimized geometry

ΔE to the lowest computed polymorph = 0 meV/atom
crystal system = tetragonal
calculated volume = 35.8 Å³/atom
formation energy from raw total energies = -1.129 eV per atom

The structure in CIF format:
```
data_TlVCl4
_chemical_formula_sum 'Tl4 V4 Cl16'
_cell_length_a 10.123
_cell_length_b 10.123
_cell_length_c 8.385
_cell_angle_alpha 90.00
_cell_angle_beta 90.00
_cell_angle_gamma 90.00
_symmetry_space_group_name_H-M 'I 41/a m d'
_symmetry_Int_Tables_number 141
loop_
_symmetry_equiv_pos_as_xyz
'x,y,z'
'-x,-y,-z'
'-y+1/4,x+3/4,z+1/4'
'y+1/4,-x+3/4,-z+1/4'
'-x+1/2,-y,z+1/2'
'x+1/2,y,-z+1/2'
'y+1/4,-x+1/4,z+3/4'
'-y+1/4,x+1/4,-z+3/4'
'x,-y,-z'
'-x,y,z'
'-y+1/4,-x+1/4,-z+3/4'
'y+1/4,x+1/4,z+3/4'
'-x+1/2,y,-z+1/2'
'x+1/2,-y,z+1/2'
'y+1/4,x+3/4,-z+1/4'
'-y+1/4,-x+3/4,z+1/4'
'x+1/2,y+1/2,z+1/2'
'-x+1/2,-y+1/2,-z+1/2'
'-y+3/4,x+1/4,z+3/4'
'y+3/4,-x+1/4,-z+3/4'
'-x,-y+1/2,z'
'x,y+1/2,-z'
'y+3/4,-x+3/4,z+1/4'
'-y+3/4,x+3/4,-z+1/4'
'x+1/2,-y+1/2,-z+1/2'
'-x+1/2,y+1/2,z+1/2'
'-y+3/4,-x+3/4,-z+1/4'
'y+3/4,x+3/4,z+1/4'
'-x,y+1/2,-z'
'x,-y+1/2,z'
'y+3/4,x+1/4,-z+3/4'
'-y+3/4,-x+1/4,z+3/4'
loop_
_atom_site_label
_atom_site_type_symbol
_atom_site_fract_x
_atom_site_fract_y
_atom_site_fract_z
Tl1 Tl 0.000 0.250 0.375
V1 V 0.000 0.250 0.875
Cl1 Cl 0.000 0.076 0.710
```

***

Entry 3:
Compound: Tl2VCl5
Source: Alexandria via LeMat-Bulk
Functional: PBE
Structure: optimized geometry

ΔE to the lowest computed polymorph = 0 meV/atom
crystal system = monoclinic
calculated volume = 31.7 Å³/atom
formation energy from raw total energies = -1.092 eV per atom

The structure in CIF format:
```
data_Tl2VCl5
_chemical_formula_sum 'Tl4 V2 Cl10'
_cell_length_a 11.758
_cell_length_b 7.478
_cell_length_c 7.478
_cell_angle_alpha 90.00
_cell_angle_beta 129.43
_cell_angle_gamma 90.00
_symmetry_space_group_name_H-M 'C 1 m 1'
_symmetry_Int_Tables_number 8
loop_
_symmetry_equiv_pos_as_xyz
'x,y,z'
'x,-y,z'
'x+1/2,y+1/2,z'
'x+1/2,-y+1/2,z'
loop_
_atom_site_label
_atom_site_type_symbol
_atom_site_fract_x
_atom_site_fract_y
_atom_site_fract_z
Tl1 Tl 0.000 0.000 0.000
Tl2 Tl 0.000 0.500 0.499
V1 V 0.255 0.000 0.755
Cl1 Cl 0.205 0.219 0.923
Cl2 Cl 0.207 0.219 0.488
Cl3 Cl 0.498 0.000 0.000
```

***

Entry 4:
Compound: TlV4Cl7
Source: Alexandria via LeMat-Bulk
Functional: PBE
Structure: optimized geometry

crystal system = orthorhombic
calculated volume = 25.6 Å³/atom
formation energy from raw total energies = -0.655 eV per atom

The structure in CIF format:
```
data_TlV4Cl7
_chemical_formula_sum 'Tl2 V8 Cl14'
_cell_length_a 16.237
_cell_length_b 5.884
_cell_length_c 6.436
_cell_angle_alpha 90.00
_cell_angle_beta 90.00
_cell_angle_gamma 90.00
_symmetry_space_group_name_H-M 'P m n 21'
_symmetry_Int_Tables_number 31
loop_
_symmetry_equiv_pos_as_xyz
'x,y,z'
'-x+1/2,-y,z+1/2'
'-x,y,z'
'x+1/2,-y,z+1/2'
loop_
_atom_site_label
_atom_site_type_symbol
_atom_site_fract_x
_atom_site_fract_y
_atom_site_fract_z
Tl1 Tl 0.000 0.171 0.000
V1 V 0.138 0.715 0.481
V2 V 0.248 0.746 0.088
Cl1 Cl 0.000 0.856 0.595
Cl2 Cl 0.103 0.685 0.119
Cl3 Cl 0.110 0.345 0.609
Cl4 Cl 0.248 0.855 0.712
```

***

Which of these has the highest calculated volume? TlVCl4